*w*
Er7Ni2Au2 | PBE-GGA | relaxed

Values from the calculation:
Theoretical density ... 9.96 Mg/m³

abc: 7.6524 10.7060 6.8439
angles: 90.00 90.00 90.00
Space group Cmmm (No. 65)
Inequivalent atoms, fractional coordinates:
Er 0.0000 0.0000 0.0000 [2 per cell]
Er 0.0000 0.5000 0.2464 [4 per cell]
Er 0.2500 0.2500 0.2523 [8 per cell]
Ni 0.0000 0.2922 0.0000 [4 per cell]
Au 0.1901 0.0000 0.5000 [4 per cell]

*x*
Er7Ni2Au2 | PBE-GGA | relaxed

Values from the calculation:
Theoretical density ... 10.39 Mg/m³

abc: 3.6664 15.6118 9.3891
angles: 90.00 90.00 90.00
Space group Imm2 (No. 44)
Inequivalent atoms, fractional coordinates:
Er 0.0000 0.0000 0.0000 [2 per cell]
Er 0.0000 0.1204 0.4097 [4 per cell]
Er 0.0000 0.3090 0.6073 [4 per cell]
Er 0.0000 0.3615 0.2552 [4 per cell]
Ni 0.0000 0.2434 0.9073 [4 per cell]
Au 0.0000 0.0000 0.6632 [2 per cell]
Au 0.0000 0.5000 0.7451 [2 per cell]

Bottom line: *x*, by a margin of 0.140 eV/atom.

*w*
ErAuO | PBE-GGA | relaxed

Values from the calculation:
Theoretical density ... 10.26 Mg/m³

abc: 3.5987 3.5987 5.4893
angles: 90.00 90.00 120.00
Space group P3m1 (No. 156)
Inequivalent atoms, fractional coordinates:
Er 0.0000 0.0000 0.0000 [1 per cell]
Au 0.3333 0.6667 0.6076 [1 per cell]
O 0.6667 0.3333 0.1109 [1 per cell]

*x*
ErAuO | PBE-GGA | relaxed

Values from the calculation:
Theoretical density ... 11.90 Mg/m³

abc: 3.8496 3.8496 7.1588
angles: 90.00 90.00 90.00
Space group P4/nmm (No. 129, origin choice 2)
Inequivalent atoms, fractional coordinates:
Er 0.2500 0.2500 0.1530 [2 per cell]
Au 0.2500 0.2500 0.5769 [2 per cell]
O 0.2500 0.7500 0.0000 [2 per cell]

Bottom line: *x*, by a margin of 0.298 eV/atom.

*w*
Er8OsAu2 | PBE-GGA | relaxed

Values from the calculation:
Theoretical density ... 11.28 Mg/m³

abc: 17.2103 5.0838 6.8016
angles: 90.00 108.06 90.00
Space group C2/m (No. 12)
Inequivalent atoms, fractional coordinates:
Er 0.0285 0.0000 0.2969 [4 per cell]
Er 0.0914 0.5000 0.9333 [4 per cell]
Er 0.1617 0.5000 0.4648 [4 per cell]
Er 0.1991 0.0000 0.8053 [4 per cell]
Os 0.0000 0.5000 0.5000 [2 per cell]
Au 0.1839 0.0000 0.2096 [4 per cell]

*x*
Er8OsAu2 | PBE-GGA | relaxed

Values from the calculation:
Theoretical density ... 10.68 Mg/m³

abc: 8.1425 13.8075 5.8742
angles: 90.00 115.14 90.00
Space group Cm (No. 8)
Inequivalent atoms, fractional coordinates:
Er 0.0000 0.0000 0.0000 [2 per cell]
Er 0.0773 0.3805 0.8387 [4 per cell]
Er 0.1342 0.1177 0.5885 [4 per cell]
Er 0.2108 0.5000 0.3978 [2 per cell]
Er 0.3624 0.1941 0.2024 [4 per cell]
Os 0.3567 0.0000 0.0303 [2 per cell]
Au 0.3411 0.2983 0.6784 [4 per cell]

Bottom line: *w*, by a margin of 0.123 eV/atom.

*w*
ErPaAu2 | PBE-GGA | relaxed

Values from the calculation:
Theoretical density ... 14.30 Mg/m³

abc: 3.4630 3.4630 7.6732
angles: 90.00 90.00 90.00
Space group P4/mmm (No. 123)
Inequivalent atoms, fractional coordinates:
Er 0.0000 0.0000 0.0000 [1 per cell]
Pa 0.0000 0.0000 0.5000 [1 per cell]
Au 0.5000 0.5000 0.2353 [2 per cell]

*x*
ErPaAu2 | PBE-GGA | relaxed

Values from the calculation:
Theoretical density ... 14.15 Mg/m³

abc: 7.1915 7.1915 7.1915
angles: 90.00 90.00 90.00
Space group Fm-3m (No. 225)
Inequivalent atoms, fractional coordinates:
Er 0.0000 0.0000 0.0000 [4 per cell]
Pa 0.0000 0.0000 0.5000 [4 per cell]
Au 0.2500 0.2500 0.2500 [8 per cell]

Bottom line: *w*, by a margin of 0.060 eV/atom.

*w*
ErPaAu | PBE-GGA | relaxed

Values from the calculation:
Theoretical density ... 13.81 Mg/m³

abc: 4.9593 4.9593 6.7206
angles: 90.00 90.00 120.00
Space group P-3m1 (No. 164)
Inequivalent atoms, fractional coordinates:
Er 0.0000 0.0000 0.2292 [2 per cell]
Pa 0.3333 0.6667 0.4574 [2 per cell]
Au 0.3333 0.6667 0.9278 [2 per cell]

*x*
ErPaAu | PBE-GGA | relaxed

Values from the calculation:
Theoretical density ... 13.68 Mg/m³

abc: 5.0370 5.0370 3.2891
angles: 90.00 90.00 120.00
Space group P3m1 (No. 156)
Inequivalent atoms, fractional coordinates:
Er 0.0000 0.0000 0.0000 [1 per cell]
Pa 0.3333 0.6667 0.5788 [1 per cell]
Au 0.6667 0.3333 0.3321 [1 per cell]

Bottom line: *w*, by a margin of 0.052 eV/atom.

*w*
Er7Pd2Au2 | PBE-GGA | relaxed

Values from the calculation:
Theoretical density ... 9.95 Mg/m³

abc: 7.8259 10.7133 7.0769
angles: 90.00 90.00 90.00
Space group Cmmm (No. 65)
Inequivalent atoms, fractional coordinates:
Er 0.0000 0.0000 0.0000 [2 per cell]
Er 0.0000 0.5000 0.2576 [4 per cell]
Er 0.2500 0.2500 0.2635 [8 per cell]
Pd 0.0000 0.2873 0.0000 [4 per cell]
Au 0.1957 0.0000 0.5000 [4 per cell]

*x*
Er7Pd2Au2 | PBE-GGA | relaxed

Values from the calculation:
Theoretical density ... 10.52 Mg/m³

abc: 3.7655 15.6154 9.5436
angles: 90.00 90.00 90.00
Space group Imm2 (No. 44)
Inequivalent atoms, fractional coordinates:
Er 0.0000 0.0000 0.0000 [2 per cell]
Er 0.0000 0.1159 0.5953 [4 per cell]
Er 0.0000 0.3119 0.3888 [4 per cell]
Er 0.0000 0.3686 0.7510 [4 per cell]
Pd 0.0000 0.2411 0.0916 [4 per cell]
Au 0.0000 0.0000 0.3457 [2 per cell]
Au 0.0000 0.5000 0.2585 [2 per cell]

Bottom line: *x*, by a margin of 0.198 eV/atom.

*w*
ErPd6Au3 | PBE-GGA | relaxed

Values from the calculation:
Theoretical density ... 13.59 Mg/m³

abc: 8.8134 4.2164 9.2035
angles: 90.00 93.53 90.00
Space group P2_1/m (No. 11)
Inequivalent atoms, fractional coordinates:
Er 0.0659 0.2500 0.3748 [2 per cell]
Pd 0.0501 0.7500 0.9075 [2 per cell]
Pd 0.1449 0.2500 0.6993 [2 per cell]
Pd 0.1592 0.7500 0.2016 [2 per cell]
Pd 0.2462 0.7500 0.5057 [2 per cell]
Pd 0.3621 0.2500 0.3013 [2 per cell]
Pd 0.4540 0.7500 0.1009 [2 per cell]
Au 0.2508 0.2500 0.0073 [2 per cell]
Au 0.3428 0.7500 0.8061 [2 per cell]
Au 0.4471 0.2500 0.6010 [2 per cell]

*x*
ErPd6Au3 | PBE-GGA | relaxed

Values from the calculation:
Theoretical density ... 12.32 Mg/m³

abc: 11.1354 11.1354 5.2577
angles: 90.00 90.00 120.00
Space group R3m (No. 160, hexagonal axes)
Inequivalent atoms, fractional coordinates:
Er 0.0000 0.0000 0.0000 [3 per cell]
Pd 0.0821 0.1641 0.4282 [9 per cell]
Pd 0.2138 0.4277 0.4322 [9 per cell]
Au 0.0050 0.5025 0.5933 [9 per cell]

Bottom line: *w*, by a margin of 0.246 eV/atom.

*w*
ErPd3Au4 | PBE-GGA | relaxed

Values from the calculation:
Theoretical density ... 14.91 Mg/m³

abc: 16.9087 4.1536 4.1696
angles: 90.00 104.17 90.00
Space group C2/m (No. 12)
Inequivalent atoms, fractional coordinates:
Er 0.0000 0.0000 0.0000 [2 per cell]
Pd 0.0000 0.5000 0.5000 [2 per cell]
Pd 0.2470 0.5000 0.7469 [4 per cell]
Au 0.1295 0.0000 0.6293 [4 per cell]
Au 0.1297 0.5000 0.1295 [4 per cell]

*x*
ErPd3Au4 | PBE-GGA | relaxed

Values from the calculation:
Theoretical density ... 14.95 Mg/m³

abc: 17.2526 4.0329 4.1932
angles: 90.00 103.99 90.00
Space group C2/m (No. 12)
Inequivalent atoms, fractional coordinates:
Er 0.0000 0.0000 0.0000 [2 per cell]
Pd 0.0000 0.5000 0.5000 [2 per cell]
Pd 0.1248 0.5000 0.1251 [4 per cell]
Au 0.1250 0.0000 0.6253 [4 per cell]
Au 0.2469 0.5000 0.7470 [4 per cell]

Bottom line: *x*, by a margin of 0.041 eV/atom.

*w*
ErPd3Au2 | PBE-GGA | relaxed

Values from the calculation:
Theoretical density ... 13.86 Mg/m³

abc: 5.7378 4.1702 8.8235
angles: 90.00 92.33 90.00
Space group P2_1/m (No. 11)
Inequivalent atoms, fractional coordinates:
Er 0.1247 0.2500 0.2461 [2 per cell]
Pd 0.1306 0.2500 0.9166 [2 per cell]
Pd 0.3711 0.7500 0.4154 [2 per cell]
Pd 0.3740 0.7500 0.7470 [2 per cell]
Au 0.1391 0.2500 0.5832 [2 per cell]
Au 0.3762 0.7500 0.0824 [2 per cell]

*x*
ErPd3Au2 | PBE-GGA | relaxed

Values from the calculation:
Theoretical density ... 13.88 Mg/m³

abc: 4.1802 12.6605 3.9807
angles: 90.00 90.00 90.00
Space group Cmmm (No. 65)
Inequivalent atoms, fractional coordinates:
Er 0.0000 0.0000 0.0000 [2 per cell]
Pd 0.0000 0.1690 0.5000 [4 per cell]
Pd 0.0000 0.5000 0.5000 [2 per cell]
Au 0.0000 0.3342 0.0000 [4 per cell]

Bottom line: *x*, by a margin of 0.021 eV/atom.

*w*
Er2Pd5Au5 | PBE-GGA | relaxed

Values from the calculation:
Theoretical density ... 13.60 Mg/m³

abc: 13.4313 4.6398 7.5933
angles: 90.00 107.19 90.00
Space group C2/m (No. 12)
Inequivalent atoms, fractional coordinates:
Er 0.1429 0.0000 0.2776 [4 per cell]
Pd 0.0000 0.0000 0.5000 [2 per cell]
Pd 0.0749 0.0000 0.8887 [4 per cell]
Pd 0.2195 0.0000 0.6902 [4 per cell]
Au 0.0000 0.5000 0.0000 [2 per cell]
Au 0.1174 0.5000 0.5135 [4 per cell]
Au 0.1938 0.5000 0.9166 [4 per cell]

*x*
Er2Pd5Au5 | PBE-GGA | relaxed

Values from the calculation:
Theoretical density ... 14.38 Mg/m³

abc: 12.5458 4.0713 9.3274
angles: 90.00 116.19 90.00
Space group C2/m (No. 12)
Inequivalent atoms, fractional coordinates:
Er 0.0831 0.0000 0.2541 [4 per cell]
Pd 0.0000 0.5000 0.0000 [2 per cell]
Pd 0.0801 0.5000 0.7484 [4 per cell]
Pd 0.1642 0.5000 0.5018 [4 per cell]
Au 0.0000 0.0000 0.5000 [2 per cell]
Au 0.1669 0.0000 0.9979 [4 per cell]
Au 0.2476 0.0000 0.7444 [4 per cell]

Bottom line: *x*, by a margin of 0.093 eV/atom.

*w*
ErPd3Au | PBE-GGA | relaxed

Values from the calculation:
Theoretical density ... 12.55 Mg/m³

abc: 4.6822 5.8781 6.9743
angles: 90.00 109.60 90.00
Space group P2_1/m (No. 11)
Inequivalent atoms, fractional coordinates:
Er 0.1120 0.2500 0.2250 [2 per cell]
Pd 0.3146 0.0052 0.6285 [4 per cell]
Pd 0.4932 0.2500 0.9868 [2 per cell]
Au 0.1302 0.7500 0.2609 [2 per cell]

*x*
ErPd3Au | PBE-GGA | relaxed

Values from the calculation:
Theoretical density ... 12.09 Mg/m³

abc: 4.4685 5.9054 7.1169
angles: 90.00 90.00 90.00
Space group Pmmn (No. 59, origin choice 2)
Inequivalent atoms, fractional coordinates:
Er 0.2500 0.2500 0.1954 [2 per cell]
Pd 0.2500 0.0267 0.7536 [4 per cell]
Pd 0.2500 0.7500 0.0702 [2 per cell]
Au 0.2500 0.7500 0.4472 [2 per cell]

Bottom line: *w*, by a margin of 0.079 eV/atom.